The following is a DFT calculation (PBE) of an optimized crystal structure of HoTm3Ru2.

Geometry as POSCAR:
```
HoTm3Ru2
1.0
6.6439 0.0000 0.0000
0.0000 6.9225 0.0000
-3.3220 -3.4612 6.6821
Ru Ho Tm
4 2 6
Direct
0.5850 0.3651 0.7303
0.1452 0.8651 0.7303
0.4150 0.6349 0.2697
0.8548 0.1349 0.2697
0.0000 0.5000 0.0000
0.0000 0.0000 0.0000
0.7646 0.0146 0.5291
0.2354 0.4854 0.4709
0.5000 0.2500 0.0000
0.5000 0.7500 0.0000
0.7646 0.5146 0.5291
0.2354 0.9854 0.4709
```

Output
Crystal system   orthorhombic
Energy   -76.41 eV for the cell shown
Energy relative to the elements   -0.28 eV/atom
Symmetry   Ibam (72)
Magnetization   0.000 μB/atom
Energy relative to the lowest polymorph listed for this composition   125 meV/atom

The following is a DFT calculation (PBE) of an optimized crystal structure of Ho2Tm2Ru3.

Geometry as POSCAR:
```
Ho2Tm2Ru3
1.0
4.6772 0.0021 -1.2953
-2.5171 4.1427 0.0025
-0.2887 -0.1653 7.9309
Ho Tm Ru
2 2 3
Direct
0.2464 0.6233 0.8687
0.7536 0.3767 0.1313
0.7482 0.8740 0.6212
0.2518 0.1260 0.3788
0.4974 0.7486 0.2470
0.5026 0.2514 0.7530
0.0000 0.0000 0.0000
```

Output
Crystal system   triclinic
Energy   -48.18 eV for the cell shown
Energy relative to the elements   -0.32 eV/atom
Symmetry   P-1 (2)
Magnetization   0.000 μB/atom

The following is a DFT calculation (PBE) of an optimized crystal structure of Ho7TmRu2.

Geometry as POSCAR:
```
Ho7TmRu2
1.0
-0.3045 -4.6730 -2.5816
8.0242 -0.9284 0.7341
-4.3841 -3.0788 6.0900
Ru Ho Tm
2 7 1
Direct
0.5000 0.2954 0.7046
0.5000 0.7046 0.2954
0.5000 0.9421 0.6741
0.5000 0.6741 0.9421
0.5000 0.3259 0.0579
0.0000 0.2933 0.7067
0.5000 0.0579 0.3259
0.5000 0.5000 0.5000
0.0000 0.7067 0.2933
0.0000 0.0000 0.0000
```

Output
Crystal system   orthorhombic
Energy   -55.15 eV for the cell shown
Energy relative to the elements   -0.01 eV/atom
Symmetry   Cmmm (65)
Magnetization   0.000 μB/atom

The following is a DFT calculation (PBE) of an optimized crystal structure of Ho2TmRu.

Geometry as POSCAR:
```
Ho2TmRu
1.0
6.2601 0.0000 0.0000
0.0000 7.2677 0.0000
0.0000 0.0000 9.0862
Ho Ru Tm
8 4 4
Direct
0.6692 0.8232 0.5634
0.3308 0.1768 0.4366
0.3308 0.1768 0.0634
0.8308 0.3232 0.5634
0.1692 0.6768 0.4366
0.8308 0.3232 0.9366
0.6692 0.8232 0.9366
0.1692 0.6768 0.0634
0.4647 0.8847 0.2500
0.5353 0.1153 0.7500
0.9647 0.6153 0.7500
0.0353 0.3847 0.2500
0.1320 0.9592 0.7500
0.8680 0.0408 0.2500
0.6320 0.5408 0.2500
0.3680 0.4592 0.7500
```

Output
Crystal system   orthorhombic
Energy   -97.23 eV for the cell shown
Energy relative to the elements   -0.35 eV/atom
Symmetry   Pnma (62)
Magnetization   0.000 μB/atom
Energy relative to the lowest polymorph listed for this composition   0 meV/atom